# Y2TiInRe

Y2TiInRe after structural relaxation (PBE-GGA, Alexandria via LeMat-Bulk).

Cell: 5.4922 5.4922 4.9240 Å, 90.00 90.00 90.00°
Fractional coordinates of all 5 atoms:
Y 0.0000 0.5000 0.0000
Y 0.5000 0.0000 0.0000
Ti 0.0000 0.0000 0.5000
In 0.5000 0.5000 0.0000
Re 0.5000 0.5000 0.5000

Properties
space-group type: P4/mmm
calculated formation energy: 32.8 kcal/mol of atoms
M_tot: 0.00 μB per cell



# CuP2Ir

CuP2Ir after structural relaxation (PBE-GGA, Alexandria via LeMat-Bulk).

Cell: 4.7738 4.7738 4.7738 Å, 134.85 134.85 65.76°
Fractional coordinates of all 4 atoms:
Cu 0.0000 0.0000 0.0000
P 0.5000 0.5000 0.0000
P 0.7500 0.2500 0.5000
Ir 0.2500 0.7500 0.5000

Properties
energy above the lowest structure with this stoichiometry: 0.4224 eV/atom
space-group type: I-4m2
calculated formation energy: 6.3 kcal/mol of atoms
M_tot: 0.00 μB per cell



# SrTb2P

SrTb2P after structural relaxation (PBE-GGA, Alexandria via LeMat-Bulk).

Cell: 10.6541 10.6541 10.6541 Å, 21.17 21.17 21.17°
Fractional coordinates of all 4 atoms:
Sr 0.0000 0.0000 0.0000
Tb 0.1170 0.1170 0.1170
Tb 0.8830 0.8830 0.8830
P 0.5000 0.5000 0.5000

Properties
space-group type: R-3m
calculated formation energy: -13.8 kcal/mol of atoms
M_tot: 0.00 μB per cell



# Ac2Sb3PdPt4

Ac2Sb3PdPt4 after structural relaxation (PBE-GGA, Alexandria via LeMat-Bulk).

Cell: 4.6487 4.6487 10.7194 Å, 90.00 90.00 90.00°
Fractional coordinates of all 10 atoms:
Ac 0.0000 0.5000 0.2456
Ac 0.5000 0.0000 0.7544
Sb 0.0000 0.0000 0.0000
Sb 0.0000 0.5000 0.6274
Sb 0.5000 0.0000 0.3726
Pd 0.5000 0.5000 0.0000
Pt 0.0000 0.0000 0.5000
Pt 0.0000 0.5000 0.8698
Pt 0.5000 0.0000 0.1302
Pt 0.5000 0.5000 0.5000

Properties
space-group type: P-4m2
formation energy from raw total energies: -0.86 eV per atom
M_tot: 0.00 μB per cell



# CdPWCl2

CdPWCl2 after structural relaxation (PBE-GGA, Alexandria via LeMat-Bulk).

Cell: 4.8859 4.8859 5.4392 Å, 90.00 90.00 90.00°
Fractional coordinates of all 5 atoms:
Cd 0.0000 0.0000 0.0000
P 0.0000 0.0000 0.5000
W 0.5000 0.5000 0.5000
Cl 0.0000 0.5000 0.0000
Cl 0.5000 0.0000 0.0000

Properties
energy above the lowest structure with this stoichiometry: 1.0680 eV/atom
space-group type: P4/mmm
formation energy from raw total energies: 1.22 eV per atom
M_tot: 3.34 μB per cell



# Cs2TeAu

Cs2TeAu after structural relaxation (PBE-GGA, Alexandria via LeMat-Bulk).

Cell: 6.2987 5.7939 10.8630 Å, 90.00 90.14 90.00°
Fractional coordinates of all 8 atoms:
Cs 0.2492 0.2500 0.0978
Cs 0.2499 0.7500 0.4331
Cs 0.7501 0.2500 0.5669
Cs 0.7508 0.7500 0.9022
Te 0.2505 0.2500 0.7515
Te 0.7495 0.7500 0.2485
Au 0.2502 0.7500 0.7530
Au 0.7498 0.2500 0.2470

Properties
energy above the lowest structure with this stoichiometry: 0.0000 eV/atom
space-group type: P2_1/m
formation energy from raw total energies: -0.64 eV per atom
M_tot: 0.00 μB per cell



# RbSr2AlPt

RbSr2AlPt after structural relaxation (PBE-GGA, Alexandria via LeMat-Bulk).

Cell: 6.0782 6.0782 4.9781 Å, 90.00 90.00 90.00°
Fractional coordinates of all 5 atoms:
Rb 0.0000 0.0000 0.0000
Sr 0.0000 0.5000 0.5000
Sr 0.5000 0.0000 0.5000
Al 0.5000 0.5000 0.0000
Pt 0.5000 0.5000 0.5000

Properties
space-group type: P4/mmm
calculated formation energy: -7.4 kcal/mol of atoms
M_tot: 0.50 μB per cell



# CsRh4O8

CsRh4O8 after structural relaxation (PBE-GGA, Alexandria via LeMat-Bulk).

Cell: 7.9443 7.9443 7.9443 Å, 46.04 46.04 46.04°
Fractional coordinates of all 13 atoms:
Cs 0.0000 0.0000 0.0000
Rh 0.0000 0.0000 0.5000
Rh 0.0000 0.5000 0.0000
Rh 0.5000 0.0000 0.0000
Rh 0.5000 0.5000 0.5000
O 0.2111 0.2111 0.2111
O 0.2126 0.7117 0.7117
O 0.2883 0.2883 0.7874
O 0.2883 0.7874 0.2883
O 0.7117 0.2126 0.7117
O 0.7117 0.7117 0.2126
O 0.7874 0.2883 0.2883
O 0.7889 0.7889 0.7889

Properties
space-group type: R-3m
formation energy from raw total energies: -0.87 eV per atom
M_tot: 0.00 μB per cell



| no. | D(E_F) (states/eV per cell) |
| --- | --- |
| 1 | 13.07 |
| 2 | 2.00 |
| 3 | 4.25 |
| 4 | 5.42 |
| 5 | 6.55 |
| 6 | 2.57 |
| 7 | 3.49 |
| 8 | 14.78 |